Entry from the Alexandria database: crystalline BaLa2AgH at its relaxed geometry (GGA-PBE).

Calculated values
Total energy: -18.24 eV for the cell shown
Density of states at the Fermi level: 6.65 states/eV/f.u.
M_tot: 0.0 Bohr magnetons per cell

Structure (POSCAR):
```
BaLa2AgH
1.0
4.974 0.000 0.000
0.000 5.883 0.000
0.000 0.000 4.974
H Ba Ag La
1 1 1 2
Direct
0.000 0.000 0.000 H
0.000 0.500 0.000 Ba
0.500 0.500 0.500 Ag
0.000 0.000 0.500 La
0.500 0.000 0.000 La
```